Below is CdCoTe2 after structural relaxation, with properties calculated at the PBE level.

Unit cell a=3.153 b=3.153 c=9.330 alpha=90.00 beta=90.00 gamma=90.02
Element x y z (fractional)
Cd  0.000  0.000  0.562
Co  0.500  0.500  0.760
Te  0.000  0.000  0.905
Te  0.500  0.500  0.273

Results
**D(E_F)**: 1.75 states/eV/f.u.
**E_tot**: -3.456 eV/atom
**E_form (uncorrected)**: 0.12 eV per atom